The following is a GGA+U calculation of a relaxed structure of MgCoRuO6, from Alexandria.

Summary:
The value obtained for the total energy is -0.457 Ry/atom. As for the size of the total moment: 1.99 μB per cell. For the mass density, the calculation gives 4.91 g/cm³.

abc: 4.9434 4.9434 8.9617
angles: 90.00 90.00 120.00
Space group P-31c (No. 163)
Inequivalent atoms, fractional coordinates:
Mg1 0.0000 0.0000 0.0000 x2
Co1 0.3333 0.6667 0.2500 x2
Ru1 0.3333 0.6667 0.7500 x2
O1 0.0040 0.3587 0.1340 x12